1.
A plane-wave DFT calculation with PBE was carried out for a geometry-optimized Mg6TiSn structure.

The value obtained for the density of states at the Fermi level is 0.631 states/eV per atom. Its energy relative to the lowest polymorph listed for this composition is 0.00 kcal/mol of atoms.

abc: 6.373 6.373 5.064
angles: 90.00 90.00 122.78
Each line ends with the local moment (μB).
Fractional positions:
Mg  0.832  0.671  0.500  0.00
Mg  0.329  0.168  0.500  0.00
Mg  0.660  0.820  0.000  0.00
Mg  0.180  0.340  0.000  0.00
Mg  0.667  0.333  0.000  0.00
Mg  0.173  0.827  0.000  0.00
Ti  0.328  0.672  0.500  0.66
Sn  0.831  0.169  0.500  -0.02



2.
A plane-wave DFT calculation with PBE was carried out for a geometry-optimized Li2MgRu structure.

The value obtained for the density of states at the Fermi level is 0.452 states/eV per atom. The energy comes out at -3.50 eV/atom.

abc: 2.717 2.717 9.575
angles: 90.00 90.00 114.62
Fractional positions:
Li  0.000  0.000  0.974
Li  0.000  0.000  0.526
Mg  0.500  0.500  0.250
Ru  0.500  0.500  0.750



3.
A plane-wave DFT calculation with PBE was carried out for a geometry-optimized TmScTlSn structure.

The value obtained for the density of states at the Fermi level is 0.974 states/eV per atom. The energy comes out at -4.66 eV/atom.

abc: 5.200 5.200 5.200
angles: 60.00 60.00 60.00
Fractional positions:
Sc  0.500  0.500  0.500
Tl  0.750  0.750  0.750
Tm  0.000  0.000  0.000
Sn  0.250  0.250  0.250